Here is a geometry-optimized TiFeCO2 structure from Alexandria via LeMat-Bulk. Energies are from PBE+U.

Cell and atoms, written as POSCAR:
```
TiFeCO2
1.0
3.3246 0.0000 0.0000
0.0000 3.3246 0.0000
0.0000 0.0000 5.7148
Ti Fe C O
1 1 1 2
Direct
0.0000 0.0000 0.0000
0.0000 0.0000 0.5000
0.5000 0.5000 0.0000
0.0000 0.5000 0.5000
0.5000 0.0000 0.5000
```

* energy: -5.91 eV/atom

---

Here is a geometry-optimized Tl2FeCO structure from Alexandria via LeMat-Bulk. Energies are from PBE+U.

Cell and atoms, written as POSCAR:
```
Tl2FeCO
1.0
5.2823 0.0000 0.0000
0.0000 5.2823 0.0000
0.0000 0.0000 3.6591
Tl Fe C O
2 1 1 1
Direct
0.0000 0.5000 0.0000
0.5000 0.0000 0.0000
0.0000 0.0000 0.0000
0.0000 0.0000 0.5000
0.5000 0.5000 0.5000
```

* energy: -3.86 eV/atom